Dy2Ti2O7 (meta-GGA SCAN, single point on PBEsol structure); formation energy without anion corrections = -351 kJ per mole of atoms; E_tot = -19.206 eV per atom
1.0
6.201 -3.556 0.000
6.201 3.556 0.000
-4.332 0.000 23.068
Dy Ti O
16 16 56
Direct
0.000 0.000 0.000
0.123 0.623 0.876
0.124 0.124 0.875
0.134 0.640 0.372
0.142 0.142 0.387
0.253 0.253 0.750
0.360 0.866 0.628
0.377 0.877 0.124
0.500 0.500 0.500
0.623 0.123 0.876
0.640 0.134 0.372
0.747 0.747 0.250
0.858 0.858 0.613
0.866 0.360 0.628
0.876 0.876 0.125
0.877 0.377 0.124
0.000 0.000 0.500
0.000 0.500 0.000
0.000 0.500 0.500
0.236 0.749 0.749
0.251 0.764 0.251
0.260 0.260 0.252
0.374 0.374 0.633
0.378 0.378 0.126
0.500 0.000 0.000
0.500 0.000 0.500
0.500 0.500 0.000
0.622 0.622 0.874
0.626 0.626 0.367
0.740 0.740 0.748
0.749 0.236 0.749
0.764 0.251 0.251
0.015 0.015 0.582
0.032 0.032 0.094
0.054 0.054 0.770
0.055 0.650 0.769
0.087 0.500 0.083
0.115 0.499 0.582
0.117 0.678 0.483
0.144 0.567 0.268
0.176 0.743 0.667
0.188 0.601 0.980
0.189 0.189 0.980
0.223 0.223 0.658
0.255 0.255 0.168
0.257 0.824 0.333
0.259 0.664 0.168
0.261 0.261 0.474
0.275 0.275 0.339
0.279 0.279 0.845
0.322 0.883 0.517
0.336 0.741 0.832
0.350 0.945 0.231
0.399 0.812 0.020
0.429 0.429 0.724
0.433 0.856 0.732
0.494 0.494 0.404
0.499 0.115 0.582
0.499 0.499 0.083
0.500 0.087 0.083
0.500 0.913 0.917
0.501 0.501 0.917
0.501 0.885 0.418
0.506 0.506 0.596
0.567 0.144 0.268
0.571 0.571 0.276
0.601 0.188 0.980
0.650 0.055 0.769
0.664 0.259 0.168
0.678 0.117 0.483
0.721 0.721 0.155
0.725 0.725 0.661
0.739 0.739 0.526
0.741 0.336 0.832
0.743 0.176 0.667
0.745 0.745 0.832
0.777 0.777 0.342
0.811 0.811 0.020
0.812 0.399 0.020
0.824 0.257 0.333
0.856 0.433 0.732
0.883 0.322 0.517
0.885 0.501 0.418
0.913 0.500 0.917
0.945 0.350 0.231
0.946 0.946 0.230
0.968 0.968 0.906
0.985 0.985 0.418